Crystalline MgMo2O4 at its relaxed geometry, computed with PBE with a Hubbard U.

a b c (Å): 6.3569 6.3569 6.3569
angles (deg): 60.00 60.00 60.00
Closest atoms and distances in Å follow each position.
Positions (direct):
O (0.2569, 0.7292, 0.2569)  1 Mg 2.05, 3 Mo 2.19
O (0.7431, 0.7431, 0.7431)  1 Mg 2.05, 3 Mo 2.19
O (0.7431, 0.7431, 0.2708)  1 Mg 2.05, 3 Mo 2.19
O (0.2569, 0.2569, 0.2569)  1 Mg 2.05, 3 Mo 2.19
O (0.2708, 0.7431, 0.7431)  1 Mg 2.05, 3 Mo 2.19
O (0.7292, 0.2569, 0.2569)  1 Mg 2.05, 3 Mo 2.19
O (0.7431, 0.2708, 0.7431)  1 Mg 2.05, 3 Mo 2.19
O (0.2569, 0.2569, 0.7292)  1 Mg 2.05, 3 Mo 2.19
Mo (0.0000, 0.5000, 0.5000)  6 O 2.19
Mo (0.5000, 0.5000, 0.5000)  6 O 2.19
Mo (0.5000, 0.5000, 0.0000)  6 O 2.19
Mo (0.5000, 0.0000, 0.5000)  6 O 2.19
Mg (0.1250, 0.1250, 0.1250)  4 O 2.05
Mg (0.8750, 0.8750, 0.8750)  4 O 2.05

Summary:
- Energy above the most stable polymorph in this dataset: 0 kJ/mol of formula units
- Total magnetic moment: 6.000 μB per formula unit
- Calculated total energy: -7.0016 eV per atom
- SG: Fd-3m, No. 227